1) {"formula": "Hf2AlB", "functional": "PBE", "state": "relaxed", "cell": [[6.940, 0.000, 0.000], [0.000, 6.940, 0.000], [0.000, 0.000, 5.850]], "species": ["Hf", "Hf", "Hf", "Hf", "Hf", "Hf", "Hf", "Hf", "Al", "Al", "Al", "Al", "B", "B", "B", "B"], "fractional_positions": [[0.199, 0.750, 0.125], [0.250, 0.199, 0.875], [0.250, 0.301, 0.375], [0.301, 0.750, 0.625], [0.699, 0.250, 0.625], [0.750, 0.699, 0.375], [0.750, 0.801, 0.875], [0.801, 0.250, 0.125], [0.000, 0.000, 0.500], [0.000, 0.500, 0.750], [0.500, 0.000, 0.250], [0.500, 0.500, 0.000], [0.000, 0.000, 0.000], [0.000, 0.500, 0.250], [0.500, 0.000, 0.750], [0.500, 0.500, 0.500]], "space_group": "No. 122", "dos_at_fermi_per_ev_atom": 0.68}



2) {"formula": "Hf2AlB", "functional": "PBE", "state": "relaxed", "cell": [[6.410, 0.000, 0.000], [0.000, 6.410, 0.000], [0.000, 0.000, 6.410]], "species": ["Hf", "Hf", "Hf", "Hf", "Hf", "Hf", "Hf", "Hf", "Al", "Al", "Al", "Al", "B", "B", "B", "B"], "fractional_positions": [[0.250, 0.250, 0.250], [0.250, 0.250, 0.750], [0.250, 0.750, 0.250], [0.250, 0.750, 0.750], [0.750, 0.250, 0.250], [0.750, 0.250, 0.750], [0.750, 0.750, 0.250], [0.750, 0.750, 0.750], [0.000, 0.000, 0.000], [0.000, 0.500, 0.500], [0.500, 0.000, 0.500], [0.500, 0.500, 0.000], [0.000, 0.000, 0.500], [0.000, 0.500, 0.000], [0.500, 0.000, 0.000], [0.500, 0.500, 0.500]], "space_group": "No. 225", "dos_at_fermi_per_ev_atom": 1.46}



3) {"formula": "Hf2AlB", "functional": "PBE", "state": "relaxed", "cell": [[3.371, 0.000, 0.000], [-1.685, 2.919, 0.000], [0.000, 0.000, 21.830]], "species": ["Hf", "Hf", "Hf", "Hf", "Hf", "Hf", "Al", "Al", "Al", "B", "B", "B"], "fractional_positions": [[0.000, 0.000, 0.226], [0.000, 0.000, 0.774], [0.333, 0.667, 0.440], [0.333, 0.667, 0.893], [0.667, 0.333, 0.107], [0.667, 0.333, 0.560], [0.000, 0.000, 0.000], [0.333, 0.667, 0.667], [0.667, 0.333, 0.333], [0.000, 0.000, 0.500], [0.333, 0.667, 0.167], [0.667, 0.333, 0.833]], "space_group": "No. 166", "dos_at_fermi_per_ev_atom": 0.49}



Name the most stable of them. 3).



1) {"formula": "HfAlB3", "functional": "PBE", "state": "relaxed", "cell": [[4.382, 0.000, 0.000], [0.000, 4.382, 0.000], [0.000, 0.000, 4.382]], "species": ["Hf", "Al", "B", "B", "B"], "fractional_positions": [[0.000, 0.000, 0.000], [0.500, 0.500, 0.500], [0.000, 0.000, 0.500], [0.000, 0.500, 0.000], [0.500, 0.000, 0.000]], "space_group": "No. 221", "dos_at_fermi_per_ev_atom": 0.72}



2) {"formula": "HfAlB3", "functional": "PBE", "state": "relaxed", "cell": [[3.970, 0.000, 0.000], [0.000, 3.970, 0.000], [0.000, 0.000, 3.970]], "species": ["Hf", "Al", "B", "B", "B"], "fractional_positions": [[0.000, 0.000, 0.000], [0.500, 0.500, 0.500], [0.000, 0.500, 0.500], [0.500, 0.000, 0.500], [0.500, 0.500, 0.000]], "space_group": "No. 221", "dos_at_fermi_per_ev_atom": 0.36}



Name the most stable of them. 2).



1) {"formula": "AlHg2B", "functional": "PBE", "state": "relaxed", "cell": [[6.693, 0.000, 0.000], [0.000, 6.693, 0.000], [0.000, 0.000, 6.693]], "species": ["Al", "Al", "Al", "Al", "Hg", "Hg", "Hg", "Hg", "Hg", "Hg", "Hg", "Hg", "B", "B", "B", "B"], "fractional_positions": [[0.000, 0.000, 0.000], [0.000, 0.500, 0.500], [0.500, 0.000, 0.500], [0.500, 0.500, 0.000], [0.250, 0.250, 0.250], [0.250, 0.250, 0.750], [0.250, 0.750, 0.250], [0.250, 0.750, 0.750], [0.750, 0.250, 0.250], [0.750, 0.250, 0.750], [0.750, 0.750, 0.250], [0.750, 0.750, 0.750], [0.000, 0.000, 0.500], [0.000, 0.500, 0.000], [0.500, 0.000, 0.000], [0.500, 0.500, 0.500]], "space_group": "No. 225", "dos_at_fermi_per_ev_atom": 0.36}



2) {"formula": "AlHg2B", "functional": "PBE", "state": "relaxed", "cell": [[4.867, 0.000, 0.000], [0.000, 4.867, 0.000], [0.000, 0.000, 14.327]], "species": ["Al", "Al", "Al", "Al", "Hg", "Hg", "Hg", "Hg", "Hg", "Hg", "Hg", "Hg", "B", "B", "B", "B"], "fractional_positions": [[0.000, 0.000, 0.000], [0.000, 0.500, 0.250], [0.500, 0.000, 0.750], [0.500, 0.500, 0.500], [0.172, 0.250, 0.625], [0.250, 0.672, 0.875], [0.250, 0.828, 0.375], [0.328, 0.250, 0.125], [0.672, 0.750, 0.125], [0.750, 0.172, 0.375], [0.750, 0.328, 0.875], [0.828, 0.750, 0.625], [0.000, 0.000, 0.500], [0.000, 0.500, 0.750], [0.500, 0.000, 0.250], [0.500, 0.500, 0.000]], "space_group": "No. 122", "dos_at_fermi_per_ev_atom": 0.43}



Name the most stable of them. 2).



1) {"formula": "Al2HgB", "functional": "PBE", "state": "relaxed", "cell": [[6.396, 0.000, 0.000], [0.000, 6.396, 0.000], [0.000, 0.000, 6.396]], "species": ["Al", "Al", "Al", "Al", "Al", "Al", "Al", "Al", "Hg", "Hg", "Hg", "Hg", "B", "B", "B", "B"], "fractional_positions": [[0.250, 0.250, 0.250], [0.250, 0.250, 0.750], [0.250, 0.750, 0.250], [0.250, 0.750, 0.750], [0.750, 0.250, 0.250], [0.750, 0.250, 0.750], [0.750, 0.750, 0.250], [0.750, 0.750, 0.750], [0.000, 0.000, 0.000], [0.000, 0.500, 0.500], [0.500, 0.000, 0.500], [0.500, 0.500, 0.000], [0.000, 0.000, 0.500], [0.000, 0.500, 0.000], [0.500, 0.000, 0.000], [0.500, 0.500, 0.500]], "space_group": "No. 225", "dos_at_fermi_per_ev_atom": 0.75}



2) {"formula": "Al2HgB", "functional": "PBE", "state": "relaxed", "cell": [[5.848, 0.000, 0.000], [0.000, 5.848, 0.000], [0.000, 0.000, 9.689]], "species": ["Al", "Al", "Al", "Al", "Al", "Al", "Al", "Al", "Hg", "Hg", "Hg", "Hg", "B", "B", "B", "B"], "fractional_positions": [[0.130, 0.250, 0.125], [0.250, 0.630, 0.375], [0.250, 0.870, 0.875], [0.370, 0.250, 0.625], [0.630, 0.750, 0.625], [0.750, 0.130, 0.875], [0.750, 0.370, 0.375], [0.870, 0.750, 0.125], [0.000, 0.000, 0.500], [0.000, 0.500, 0.750], [0.500, 0.000, 0.250], [0.500, 0.500, 0.000], [0.000, 0.000, 0.000], [0.000, 0.500, 0.250], [0.500, 0.000, 0.750], [0.500, 0.500, 0.500]], "space_group": "No. 122", "dos_at_fermi_per_ev_atom": 0.69}



Name the most stable of them. 2).



1) {"formula": "AlHgB2", "functional": "PBE", "state": "relaxed", "cell": [[5.641, 0.000, 0.000], [0.000, 5.641, 0.000], [0.000, 0.000, 8.120]], "species": ["Al", "Al", "Al", "Al", "Hg", "Hg", "Hg", "Hg", "B", "B", "B", "B", "B", "B", "B", "B"], "fractional_positions": [[0.000, 0.000, 0.000], [0.000, 0.500, 0.250], [0.500, 0.000, 0.750], [0.500, 0.500, 0.500], [0.000, 0.000, 0.500], [0.000, 0.500, 0.750], [0.500, 0.000, 0.250], [0.500, 0.500, 0.000], [0.233, 0.250, 0.125], [0.250, 0.733, 0.375], [0.250, 0.767, 0.875], [0.267, 0.250, 0.625], [0.733, 0.750, 0.625], [0.750, 0.233, 0.875], [0.750, 0.267, 0.375], [0.767, 0.750, 0.125]], "space_group": "No. 122", "dos_at_fermi_per_ev_atom": 0.38}



2) {"formula": "AlHgB2", "functional": "PBE", "state": "relaxed", "cell": [[6.041, 0.000, 0.000], [0.000, 6.041, 0.000], [0.000, 0.000, 6.041]], "species": ["Al", "Al", "Al", "Al", "Hg", "Hg", "Hg", "Hg", "B", "B", "B", "B", "B", "B", "B", "B"], "fractional_positions": [[0.000, 0.000, 0.000], [0.000, 0.500, 0.500], [0.500, 0.000, 0.500], [0.500, 0.500, 0.000], [0.000, 0.000, 0.500], [0.000, 0.500, 0.000], [0.500, 0.000, 0.000], [0.500, 0.500, 0.500], [0.250, 0.250, 0.250], [0.250, 0.250, 0.750], [0.250, 0.750, 0.250], [0.250, 0.750, 0.750], [0.750, 0.250, 0.250], [0.750, 0.250, 0.750], [0.750, 0.750, 0.250], [0.750, 0.750, 0.750]], "space_group": "No. 225", "dos_at_fermi_per_ev_atom": 0.58}



Name the most stable of them. 1).



1) {"formula": "HoAlB", "functional": "PBE", "state": "relaxed", "cell": [[0.000, 3.990, 4.319], [2.851, 0.000, 4.319], [2.851, 3.990, 0.000]], "species": ["Ho", "Ho", "Al", "Al", "B", "B"], "fractional_positions": [[0.183, 0.817, 0.183], [0.817, 0.183, 0.817], [0.321, 0.321, 0.679], [0.679, 0.679, 0.321], [0.250, 0.250, 0.250], [0.750, 0.750, 0.750]], "space_group": "No. 69", "dos_at_fermi_per_ev_atom": 0.57}



2) {"formula": "HoAlB", "functional": "PBE", "state": "relaxed", "cell": [[3.763, 0.000, 0.000], [-1.882, 3.259, 0.000], [0.000, 0.000, 4.050]], "species": ["Ho", "Al", "B"], "fractional_positions": [[0.000, 0.000, 0.000], [0.333, 0.667, 0.500], [0.667, 0.333, 0.500]], "space_group": "No. 187", "dos_at_fermi_per_ev_atom": 0.42}



Name the most stable of them. 2).



1) {"formula": "Al2BI", "functional": "PBE", "state": "relaxed", "cell": [[5.859, 0.000, 0.000], [0.000, 5.859, 0.000], [0.000, 0.000, 10.524]], "species": ["Al", "Al", "Al", "Al", "Al", "Al", "Al", "Al", "B", "B", "B", "B", "I", "I", "I", "I"], "fractional_positions": [[0.108, 0.250, 0.125], [0.250, 0.608, 0.375], [0.250, 0.892, 0.875], [0.392, 0.250, 0.625], [0.608, 0.750, 0.625], [0.750, 0.108, 0.875], [0.750, 0.392, 0.375], [0.892, 0.750, 0.125], [0.000, 0.000, 0.000], [0.000, 0.500, 0.250], [0.500, 0.000, 0.750], [0.500, 0.500, 0.500], [0.000, 0.000, 0.500], [0.000, 0.500, 0.750], [0.500, 0.000, 0.250], [0.500, 0.500, 0.000]], "space_group": "No. 122", "dos_at_fermi_per_ev_atom": 0.00}



2) {"formula": "Al2BI", "functional": "PBE", "state": "relaxed", "cell": [[6.674, 0.000, 0.000], [0.000, 6.674, 0.000], [0.000, 0.000, 6.674]], "species": ["Al", "Al", "Al", "Al", "Al", "Al", "Al", "Al", "B", "B", "B", "B", "I", "I", "I", "I"], "fractional_positions": [[0.250, 0.250, 0.250], [0.250, 0.250, 0.750], [0.250, 0.750, 0.250], [0.250, 0.750, 0.750], [0.750, 0.250, 0.250], [0.750, 0.250, 0.750], [0.750, 0.750, 0.250], [0.750, 0.750, 0.750], [0.000, 0.000, 0.000], [0.000, 0.500, 0.500], [0.500, 0.000, 0.500], [0.500, 0.500, 0.000], [0.000, 0.000, 0.500], [0.000, 0.500, 0.000], [0.500, 0.000, 0.000], [0.500, 0.500, 0.500]], "space_group": "No. 225", "dos_at_fermi_per_ev_atom": 0.46}



Name the most stable of them. 1).



1) {"formula": "AlB3I", "functional": "PBE", "state": "relaxed", "cell": [[4.420, 0.000, 0.000], [0.000, 4.420, 0.000], [0.000, 0.000, 4.420]], "species": ["Al", "B", "B", "B", "I"], "fractional_positions": [[0.000, 0.000, 0.000], [0.000, 0.500, 0.500], [0.500, 0.000, 0.500], [0.500, 0.500, 0.000], [0.500, 0.500, 0.500]], "space_group": "No. 221", "dos_at_fermi_per_ev_atom": 0.55}



2) {"formula": "AlB3I", "functional": "PBE", "state": "relaxed", "cell": [[4.386, 0.000, 0.000], [0.000, 4.386, 0.000], [0.000, 0.000, 4.386]], "species": ["Al", "B", "B", "B", "I"], "fractional_positions": [[0.000, 0.000, 0.000], [0.000, 0.000, 0.500], [0.000, 0.500, 0.000], [0.500, 0.000, 0.000], [0.500, 0.500, 0.500]], "space_group": "No. 221", "dos_at_fermi_per_ev_atom": 0.58}



Name the most stable of them. 2).



1) {"formula": "AlB2I", "functional": "PBE", "state": "relaxed", "cell": [[5.244, 0.000, 0.000], [0.000, 5.244, 0.000], [0.000, 0.000, 10.487]], "species": ["Al", "Al", "Al", "Al", "B", "B", "B", "B", "B", "B", "B", "B", "I", "I", "I", "I"], "fractional_positions": [[0.000, 0.000, 0.000], [0.000, 0.500, 0.250], [0.500, 0.000, 0.750], [0.500, 0.500, 0.500], [0.216, 0.250, 0.125], [0.250, 0.716, 0.375], [0.250, 0.784, 0.875], [0.284, 0.250, 0.625], [0.716, 0.750, 0.625], [0.750, 0.216, 0.875], [0.750, 0.284, 0.375], [0.784, 0.750, 0.125], [0.000, 0.000, 0.500], [0.000, 0.500, 0.750], [0.500, 0.000, 0.250], [0.500, 0.500, 0.000]], "space_group": "No. 122", "dos_at_fermi_per_ev_atom": 0.00}



2) {"formula": "AlB2I", "functional": "PBE", "state": "relaxed", "cell": [[6.187, 0.000, 0.000], [0.000, 6.187, 0.000], [0.000, 0.000, 6.187]], "species": ["Al", "Al", "Al", "Al", "B", "B", "B", "B", "B", "B", "B", "B", "I", "I", "I", "I"], "fractional_positions": [[0.000, 0.000, 0.000], [0.000, 0.500, 0.500], [0.500, 0.000, 0.500], [0.500, 0.500, 0.000], [0.250, 0.250, 0.250], [0.250, 0.250, 0.750], [0.250, 0.750, 0.250], [0.250, 0.750, 0.750], [0.750, 0.250, 0.250], [0.750, 0.250, 0.750], [0.750, 0.750, 0.250], [0.750, 0.750, 0.750], [0.000, 0.000, 0.500], [0.000, 0.500, 0.000], [0.500, 0.000, 0.000], [0.500, 0.500, 0.500]], "space_group": "No. 225", "dos_at_fermi_per_ev_atom": 0.70}



Name the most stable of them. 1).



1) {"formula": "AlBI3", "functional": "PBE", "state": "relaxed", "cell": [[5.612, 0.000, 0.000], [0.000, 5.612, 0.000], [0.000, 0.000, 5.612]], "species": ["Al", "B", "I", "I", "I"], "fractional_positions": [[0.000, 0.000, 0.000], [0.500, 0.500, 0.500], [0.000, 0.000, 0.500], [0.000, 0.500, 0.000], [0.500, 0.000, 0.000]], "space_group": "No. 221", "dos_at_fermi_per_ev_atom": 0.59}



2) {"formula": "AlBI3", "functional": "PBE", "state": "relaxed", "cell": [[5.233, 0.000, 0.000], [0.000, 5.233, 0.000], [0.000, 0.000, 5.233]], "species": ["Al", "B", "I", "I", "I"], "fractional_positions": [[0.000, 0.000, 0.000], [0.500, 0.500, 0.500], [0.000, 0.500, 0.500], [0.500, 0.000, 0.500], [0.500, 0.500, 0.000]], "space_group": "No. 221", "dos_at_fermi_per_ev_atom": 0.39}



Name the most stable of them. 2).



1) {"formula": "AlBIO2", "functional": "PBE", "state": "relaxed", "cell": [[3.717, 0.000, 0.000], [0.000, 3.717, 0.000], [0.000, 0.000, 4.676]], "species": ["Al", "B", "I", "O", "O"], "fractional_positions": [[0.000, 0.000, 0.000], [0.500, 0.500, 0.500], [0.500, 0.500, 0.000], [0.000, 0.500, 0.500], [0.500, 0.000, 0.500]], "space_group": "No. 123", "dos_at_fermi_per_ev_atom": 0.56}



2) {"formula": "AlBIO2", "functional": "PBE", "state": "relaxed", "cell": [[3.574, 0.000, 0.000], [0.000, 3.574, 0.000], [0.000, 0.000, 6.484]], "species": ["Al", "B", "I", "O", "O"], "fractional_positions": [[0.000, 0.000, 0.000], [0.500, 0.500, 0.500], [0.000, 0.000, 0.500], [0.000, 0.500, 0.000], [0.500, 0.000, 0.000]], "space_group": "No. 123", "dos_at_fermi_per_ev_atom": 0.57}



Name the most stable of them. 2).



1) {"formula": "AlBSb2I", "functional": "PBE", "state": "relaxed", "cell": [[5.288, 0.000, 0.000], [0.000, 5.288, 0.000], [0.000, 0.000, 5.539]], "species": ["Al", "B", "Sb", "Sb", "I"], "fractional_positions": [[0.000, 0.000, 0.000], [0.500, 0.500, 0.500], [0.000, 0.500, 0.000], [0.500, 0.000, 0.000], [0.000, 0.000, 0.500]], "space_group": "No. 123", "dos_at_fermi_per_ev_atom": 0.82}



2) {"formula": "AlBSb2I", "functional": "PBE", "state": "relaxed", "cell": [[4.859, 0.000, 0.000], [0.000, 4.859, 0.000], [0.000, 0.000, 5.187]], "species": ["Al", "B", "Sb", "Sb", "I"], "fractional_positions": [[0.000, 0.000, 0.000], [0.500, 0.500, 0.500], [0.000, 0.500, 0.500], [0.500, 0.000, 0.500], [0.500, 0.500, 0.000]], "space_group": "No. 123", "dos_at_fermi_per_ev_atom": 0.76}



Name the most stable of them. 2).



1) {"formula": "AlBTe2I", "functional": "PBE", "state": "relaxed", "cell": [[4.970, 0.000, 0.000], [0.000, 4.970, 0.000], [0.000, 0.000, 5.006]], "species": ["Al", "B", "Te", "Te", "I"], "fractional_positions": [[0.000, 0.000, 0.000], [0.500, 0.500, 0.500], [0.000, 0.500, 0.500], [0.500, 0.000, 0.500], [0.500, 0.500, 0.000]], "space_group": "No. 123", "dos_at_fermi_per_ev_atom": 0.73}



2) {"formula": "AlBTe2I", "functional": "PBE", "state": "relaxed", "cell": [[5.364, 0.000, 0.000], [0.000, 5.364, 0.000], [0.000, 0.000, 5.513]], "species": ["Al", "B", "Te", "Te", "I"], "fractional_positions": [[0.000, 0.000, 0.000], [0.500, 0.500, 0.500], [0.000, 0.500, 0.000], [0.500, 0.000, 0.000], [0.000, 0.000, 0.500]], "space_group": "No. 123", "dos_at_fermi_per_ev_atom": 0.82}



Name the most stable of them. 1).